! K3TlCo2F8 (PBE with a Hubbard U, relaxed); values from VASP
! **VASP energy**: -4.4819 eV per atom
! **Space group**: No. 164
&SYSTEM
  ibrav = 0, nat = 14, ntyp = 4
/
ATOMIC_SPECIES
K 39.10 K.upf
Tl 204.38 Tl.upf
Co 58.93 Co.upf
F 19.00 F.upf
ATOMIC_POSITIONS angstrom
K 0.000 0.000 0.000
K 0.000 3.616 5.752
K 3.132 1.808 2.747
Tl 0.000 0.000 4.250
Co 0.000 3.616 1.559
Co 3.132 1.808 6.940
F 0.000 1.850 2.349
F -1.530 4.499 2.349
F 0.000 3.616 8.165
F 1.602 0.925 6.150
F 1.530 4.499 2.349
F 3.132 1.808 0.334
F 4.661 0.925 6.150
F 3.132 3.574 6.150
CELL_PARAMETERS angstrom
6.263 0.000 0.000
-3.132 5.424 0.000
0.000 0.000 8.499